No. 1
# Rh2IF, optimized geometry, DFT PBE-GGA
# E_form (uncorrected)   -0.04 eV per atom
# Energy above the most stable polymorph in this dataset   0.00 eV per formula unit
data_Rh2IF
_chemical_formula_sum 'Rh2 I1 F1'
_symmetry_space_group_name_H-M 'P 1'
_symmetry_Int_Tables_number 1
_cell_length_a 4.431
_cell_length_b 4.431
_cell_length_c 4.431
_cell_angle_alpha 60.00
_cell_angle_beta 60.00
_cell_angle_gamma 60.00
loop_
_symmetry_equiv_pos_as_xyz
'x,y,z'
loop_
_atom_site_label
_atom_site_type_symbol
_atom_site_fract_x
_atom_site_fract_y
_atom_site_fract_z
F1 F 0.000 0.000 0.000
Rh1 Rh 0.250 0.250 0.250
Rh2 Rh 0.750 0.750 0.750
I1 I 0.500 0.500 0.500


No. 2
# RhIF, optimized geometry, DFT PBE-GGA
# E_form (uncorrected)   -0.59 eV per atom
data_RhIF
_chemical_formula_sum 'Rh2 I2 F2'
_symmetry_space_group_name_H-M 'P 1'
_symmetry_Int_Tables_number 1
_cell_length_a 3.765
_cell_length_b 6.210
_cell_length_c 7.092
_cell_angle_alpha 125.66
_cell_angle_beta 105.39
_cell_angle_gamma 90.00
loop_
_symmetry_equiv_pos_as_xyz
'x,y,z'
loop_
_atom_site_label
_atom_site_type_symbol
_atom_site_fract_x
_atom_site_fract_y
_atom_site_fract_z
I1 I 0.114 0.409 0.229
Rh1 Rh 0.747 0.751 0.494
I2 I 0.886 0.591 0.771
F1 F 0.662 0.967 0.325
F2 F 0.338 0.033 0.675
Rh2 Rh 0.253 0.249 0.506


No. 3
# RhI2F, optimized geometry, DFT PBE-GGA
# E_form (uncorrected)   -0.58 eV per atom
# Energy above the most stable polymorph in this dataset   0.00 eV per formula unit
data_RhI2F
_chemical_formula_sum 'Rh1 I2 F1'
_symmetry_space_group_name_H-M 'P 1'
_symmetry_Int_Tables_number 1
_cell_length_a 3.930
_cell_length_b 4.180
_cell_length_c 7.662
_cell_angle_alpha 88.70
_cell_angle_beta 75.15
_cell_angle_gamma 90.00
loop_
_symmetry_equiv_pos_as_xyz
'x,y,z'
loop_
_atom_site_label
_atom_site_type_symbol
_atom_site_fract_x
_atom_site_fract_y
_atom_site_fract_z
Rh1 Rh 0.010 0.000 0.000
I1 I 0.385 0.990 0.243
F1 F 0.977 0.500 0.000
I2 I 0.628 0.010 0.757


No. 4
# Rh2IF, optimized geometry, DFT PBE-GGA
# E_form (uncorrected)   0.12 eV per atom
# Energy above the most stable polymorph in this dataset   0.62 eV per formula unit
data_Rh2IF
_chemical_formula_sum 'Rh4 I2 F2'
_symmetry_space_group_name_H-M 'P 1'
_symmetry_Int_Tables_number 1
_cell_length_a 6.713
_cell_length_b 6.713
_cell_length_c 5.595
_cell_angle_alpha 53.14
_cell_angle_beta 53.14
_cell_angle_gamma 90.00
loop_
_symmetry_equiv_pos_as_xyz
'x,y,z'
loop_
_atom_site_label
_atom_site_type_symbol
_atom_site_fract_x
_atom_site_fract_y
_atom_site_fract_z
Rh1 Rh 0.875 0.852 0.750
F1 F 0.500 0.500 0.000
Rh2 Rh 0.148 0.625 0.250
Rh3 Rh 0.375 0.398 0.750
I1 I 0.750 0.250 0.500
I2 I 0.000 0.000 0.000
F2 F 0.250 0.750 0.500
Rh4 Rh 0.602 0.125 0.250


No. 5
# SbRhI2F, optimized geometry, DFT PBE-GGA
# E_form (uncorrected)   0.04 eV per atom
# Energy above the most stable polymorph in this dataset   0.00 eV per formula unit
data_SbRhI2F
_chemical_formula_sum 'Sb1 Rh1 I2 F1'
_symmetry_space_group_name_H-M 'P 1'
_symmetry_Int_Tables_number 1
_cell_length_a 5.429
_cell_length_b 5.429
_cell_length_c 5.015
_cell_angle_alpha 90.00
_cell_angle_beta 90.00
_cell_angle_gamma 90.00
loop_
_symmetry_equiv_pos_as_xyz
'x,y,z'
loop_
_atom_site_label
_atom_site_type_symbol
_atom_site_fract_x
_atom_site_fract_y
_atom_site_fract_z
F1 F 0.500 0.500 0.500
I1 I 0.000 0.500 0.000
Rh1 Rh 0.000 0.000 0.000
Sb1 Sb 0.000 0.000 0.500
I2 I 0.500 0.000 0.000


No. 6
# SbRhI2F, optimized geometry, DFT PBE-GGA
# E_form (uncorrected)   0.32 eV per atom
# Energy above the most stable polymorph in this dataset   1.38 eV per formula unit
data_SbRhI2F
_chemical_formula_sum 'Sb1 Rh1 I2 F1'
_symmetry_space_group_name_H-M 'P 1'
_symmetry_Int_Tables_number 1
_cell_length_a 5.737
_cell_length_b 5.737
_cell_length_c 4.187
_cell_angle_alpha 90.00
_cell_angle_beta 90.00
_cell_angle_gamma 90.00
loop_
_symmetry_equiv_pos_as_xyz
'x,y,z'
loop_
_atom_site_label
_atom_site_type_symbol
_atom_site_fract_x
_atom_site_fract_y
_atom_site_fract_z
Sb1 Sb 0.000 0.000 0.500
I1 I 0.000 0.500 0.000
I2 I 0.500 0.000 0.000
Rh1 Rh 0.500 0.500 0.500
F1 F 0.000 0.000 0.000